(1)
Computed, not measured: Dy3Ho2Tl6 after structural relaxation at the PBE level of DFT.

Summary:
Mass density, g/cm³: 10.3
Raw total energy, eV per atom: -3.404
Size of the total moment, μB/cell: 0.000
DFT formation energy, eV per atom: -0.026

a b c (Å): 4.7185 4.7185 15.1693
angles (deg): 98.95 98.95 90.00
Element x y z (fractional)
Tl 0.3037 0.3037 0.6074
Tl 0.6963 0.6963 0.3926
Ho 0.4468 0.4468 0.8936
Ho 0.5532 0.5532 0.1064
Dy 0.7996 0.7996 0.5991
Dy 0.2004 0.2004 0.4009
Dy 0.0000 0.0000 0.0000
Tl 0.1194 0.6194 0.2389
Tl 0.6194 0.1194 0.2389
Tl 0.8806 0.3806 0.7611
Tl 0.3806 0.8806 0.7611

---

(2)
Computed, not measured: Tl3Ag5Hg12 after structural relaxation at the PBE level of DFT.

Summary:
Mass density, g/cm³: 9.3
Raw total energy, eV per atom: -1.040
Size of the total moment, μB/cell: 0.000
DFT formation energy, eV per atom: 0.209

a b c (Å): 14.8940 14.8940 14.8940
angles (deg): 109.47 109.47 109.47
Element x y z (fractional)
Hg 0.0731 0.9010 0.1206
Hg 0.6720 0.4525 0.5731
Hg 0.3280 0.7804 0.4010
Hg 0.7804 0.4525 0.3794
Ag 0.0000 0.5000 0.5000
Hg 0.5990 0.8794 0.4269
Tl 0.6250 0.2500 0.3750
Hg 0.4525 0.7804 0.8794
Hg 0.7804 0.3280 0.9010
Hg 0.3280 0.5475 0.4269
Ag 0.7500 0.6250 0.3750
Hg 0.5475 0.2196 0.1206
Ag 0.6250 0.7500 0.8750
Ag 0.1250 0.3750 0.2500
Hg 0.9525 0.3794 0.2804
Hg 0.9269 0.8280 0.5475
Hg 0.5475 0.3280 0.9269
Hg 0.1206 0.7196 0.5475
Hg 0.4010 0.1206 0.5731
Hg 0.8280 0.9269 0.0475
Hg 0.0475 0.6206 0.7196
Hg 0.6206 0.5731 0.9010
Tl 0.1250 0.8750 0.7500
Tl 0.8750 0.1250 0.2500
Ag 0.6250 0.8750 0.2500
Hg 0.8280 0.9010 0.2804
Tl 0.2500 0.6250 0.8750
Ag 0.0000 0.0000 0.0000
Hg 0.4525 0.6720 0.0731
Hg 0.9010 0.8280 0.7804
Ag 0.5000 0.0000 0.5000
Tl 0.8750 0.7500 0.1250
Hg 0.2804 0.4010 0.8280
Hg 0.6720 0.2196 0.5990
Hg 0.2804 0.8794 0.9525
Hg 0.0990 0.9269 0.3794
Tl 0.3750 0.6250 0.2500
Ag 0.3750 0.2500 0.1250
Hg 0.0990 0.1720 0.2196
Hg 0.5731 0.6206 0.4010
Hg 0.2196 0.6720 0.0990
Ag 0.5000 0.0000 0.0000
Hg 0.9269 0.0990 0.8794
Hg 0.0731 0.1720 0.4525
Ag 0.0000 0.0000 0.5000
Hg 0.3794 0.4269 0.0990
Tl 0.3750 0.7500 0.6250
Hg 0.4010 0.2804 0.3280
Hg 0.6206 0.0475 0.2196
Tl 0.7500 0.3750 0.1250
Hg 0.4269 0.0475 0.3280
Hg 0.5731 0.9525 0.6720
Ag 0.2500 0.8750 0.1250
Hg 0.1720 0.0990 0.7196
Ag 0.2500 0.3750 0.6250
Hg 0.2196 0.5475 0.6206
Hg 0.0475 0.4269 0.8280
Ag 0.8750 0.2500 0.6250
Hg 0.9525 0.5731 0.1720
Ag 0.1250 0.7500 0.3750
Ag 0.8750 0.6250 0.7500
Ag 0.5000 0.5000 0.0000
Hg 0.1206 0.4010 0.0731
Tl 0.2500 0.1250 0.3750
Ag 0.7500 0.1250 0.8750
Tl 0.1250 0.2500 0.8750
Hg 0.9010 0.0731 0.6206
Tl 0.7500 0.8750 0.6250
Ag 0.3750 0.1250 0.7500
Tl 0.6250 0.3750 0.7500
Hg 0.7196 0.1206 0.0475
Hg 0.8794 0.2804 0.4525
Ag 0.0000 0.5000 0.0000
Hg 0.8794 0.5990 0.9269
Hg 0.7196 0.5990 0.1720
Ag 0.5000 0.5000 0.5000
Hg 0.1720 0.0731 0.9525
Hg 0.4269 0.3794 0.5990
Hg 0.5990 0.7196 0.6720
Hg 0.3794 0.9525 0.7804